[1]
BeOsRu4 (PBE, relaxed); E = -7.9188 eV/atom; volume = 88.0 Å³ per cell; SG = F-43m, No. 216; energy of formation = 0.76 eV per atom; size of the total moment = 0.0 μB/cell
1.0
0.0000 3.5301 3.5301
3.5301 0.0000 3.5301
3.5301 3.5301 0.0000
Be Os Ru
1 1 4
Direct
0.7500 0.7500 0.7500 Be
0.0000 0.0000 0.0000 Os
0.3754 0.8737 0.3754 Ru
0.8737 0.3754 0.3754 Ru
0.3754 0.3754 0.8737 Ru
0.3754 0.3754 0.3754 Ru

[2]
ScBeOsRu2 (PBE, relaxed); E = -7.5013 eV/atom; volume = 72.8 Å³ per cell; SG = P4/mmm, No. 123; energy of formation = 0.47 eV per atom; size of the total moment = 0.0 μB/cell
1.0
4.0861 0.0000 0.0000
0.0000 4.3583 0.0000
0.0000 0.0000 4.0861
Sc Ru Os Be
1 2 1 1
Direct
0.0000 0.5000 0.0000 Sc
0.0000 0.0000 0.5000 Ru
0.5000 0.0000 0.0000 Ru
0.5000 0.5000 0.5000 Os
0.0000 0.0000 0.0000 Be

Question: Look up the energy of formation of the first one.
Answer: 0.76 eV per atom

Question: Which of these has the highest E?
Answer: ScBeOsRu2